Entry 1:
A geometry-optimized LiCuPO4 structure. Source: Alexandria, functional PBE.

```
LiCuPO4
1.0
9.322 0.000 0.000
0.000 5.351 0.495
0.000 1.939 8.090
Li Cu P O
4 4 4 16
Cartesian
6.204 3.602 7.158
2.164 4.644 5.932
6.825 2.646 2.654
1.543 3.689 1.428
0.539 1.903 7.178
7.417 6.202 5.329
2.756 1.088 3.256
5.200 5.387 1.407
7.748 5.948 8.358
0.716 2.222 4.310
5.377 5.068 4.275
3.087 1.342 0.227
6.707 7.102 8.333
7.108 2.681 0.626
4.336 2.914 7.457
8.439 5.978 6.916
0.968 3.014 5.634
6.253 4.519 5.443
1.297 6.124 4.995
3.875 5.097 4.644
8.536 2.193 3.942
5.958 1.167 3.591
1.592 2.771 3.142
5.629 4.277 2.951
3.778 1.313 1.670
8.997 4.376 1.128
2.447 4.609 7.959
2.047 0.188 0.253
```

Calculated values
**V**: 394.65 Å³ per cell
**Energy relative to the elements, uncorrected**: -12.4 eV per formula unit
**Energy above the most stable polymorph in this dataset**: 0.87 kcal/mol of atoms

Entry 2:
A geometry-optimized Hf2TiPb structure. Source: Alexandria, functional PBE.

```
Hf2TiPb
1.0
-3.128 -2.427 3.208
-3.207 -2.053 -4.680
3.225 -4.481 -0.245
Hf Ti Pb
4 2 2
Cartesian
-1.211 -3.402 2.317
-1.900 -5.559 -4.034
-0.300 -4.535 -1.699
-2.811 -4.426 -0.018
-2.051 -7.112 -1.309
-1.059 -1.849 -0.408
-2.720 -2.796 -2.744
-0.390 -6.165 1.027
```

Calculated values
**V**: 169.93 Å³ per cell
**Calculated formation energy**: -0.5 kJ/mol of atoms

Entry 3:
A geometry-optimized Tb2Pm3Sc2 structure. Source: Alexandria, functional PBE.

```
Tb2Pm3Sc2
1.0
4.975 0.000 0.000
-2.488 5.396 -1.151
0.000 0.507 7.882
Tb Pm Sc
2 3 2
Cartesian
2.488 4.169 3.673
0.000 1.734 3.058
0.000 0.000 0.000
2.488 2.385 0.648
0.000 3.518 6.082
2.488 1.136 5.395
0.000 4.767 1.335
```

Calculated values
**V**: 214.50 Å³ per cell
**Calculated formation energy**: 4.3 kJ/mol of atoms
**Energy above the most stable polymorph in this dataset**: 0.00 kcal/mol of atoms

Entry 4:
A geometry-optimized Er4Cd5Rh2 structure. Source: Alexandria, functional PBE.

```
Er4Cd5Rh2
1.0
-1.860 -1.819 2.450
0.763 -6.422 -4.189
7.966 -1.502 4.932
Er Cd Rh
4 5 2
Cartesian
4.102 -6.807 0.666
5.976 -3.281 4.707
2.767 -2.937 2.527
0.893 -6.463 -1.515
3.041 -3.994 -0.657
1.347 -1.423 -0.034
0.382 -3.211 -2.095
7.382 -6.501 0.777
5.688 -3.931 1.400
5.192 -1.461 2.857
3.537 -6.464 -2.114
```

Calculated values
**V**: 260.68 Å³ per cell
**Calculated formation energy**: -49.5 kJ/mol of atoms

Entry 5:
A geometry-optimized Pm5Pr2Dy12 structure. Source: Alexandria, functional PBE.

```
Pm5Pr2Dy12
1.0
9.329 0.000 0.000
-4.664 11.377 -1.758
0.000 -5.373 6.822
Pm Pr Dy
5 2 12
Cartesian
0.000 3.445 3.110
0.000 0.465 5.245
0.000 -2.687 3.411
4.664 5.539 -0.182
4.664 2.559 1.953
6.319 0.000 0.000
3.009 0.000 0.000
0.000 0.299 1.646
-2.998 2.900 5.193
2.998 2.900 5.193
-1.771 6.274 1.454
1.771 6.274 1.454
4.664 -2.875 5.116
0.000 8.879 -0.053
6.435 -0.270 3.610
2.893 -0.270 3.610
7.662 3.104 -0.130
1.666 3.104 -0.130
4.664 5.706 3.417
```

Calculated values
**V**: 635.89 Å³ per cell
**Calculated formation energy**: 12.5 kJ/mol of atoms
**Energy above the most stable polymorph in this dataset**: 1.62 kcal/mol of atoms

Entry 6:
A geometry-optimized Co2TcIr structure. Source: Alexandria, functional PBE.

```
Co2TcIr
1.0
2.720 0.000 0.000
0.000 4.474 0.000
0.000 0.000 4.363
Co Ir Tc
2 1 1
Cartesian
0.000 0.000 0.000
1.360 2.237 0.000
1.360 0.000 2.182
0.000 2.237 2.182
```

Calculated values
**V**: 53.10 Å³ per cell
**Calculated formation energy**: 27.9 kJ/mol of atoms
**Energy above the most stable polymorph in this dataset**: 7.10 kcal/mol of atoms

Entry 7:
A geometry-optimized K3OsW structure. Source: Alexandria, functional PBE.

```
K3OsW
1.0
6.150 0.000 0.000
0.000 6.150 0.000
0.000 0.000 6.150
K Os W
3 1 1
Cartesian
0.000 3.075 0.000
0.000 0.000 3.075
3.075 0.000 0.000
0.000 0.000 0.000
3.075 3.075 3.075
```

Calculated values
**V**: 232.60 Å³ per cell
**Calculated formation energy**: 229.4 kJ/mol of atoms
**Energy above the most stable polymorph in this dataset**: 0.00 kcal/mol of atoms

Entry 8:
A geometry-optimized Pa2CuSeS4 structure. Source: Alexandria, functional PBE.

```
Pa2CuSeS4
1.0
3.845 0.000 0.000
1.923 5.857 0.885
1.923 2.298 7.566
Pa Cu Se S
2 1 1 4
Cartesian
5.768 5.406 5.920
1.923 2.749 2.531
0.000 0.000 0.000
3.845 4.077 4.226
3.845 7.311 6.034
3.845 4.015 7.420
3.845 0.844 2.417
3.845 4.140 1.031
```

Calculated values
**V**: 162.56 Å³ per cell
**Energy relative to the elements, uncorrected**: -10.0 eV per formula unit

Entry 9:
A geometry-optimized LiAcEr2Hg4 structure. Source: Alexandria, functional PBE.

```
LiAcEr2Hg4
1.0
-0.754 -3.287 3.878
3.646 -3.408 1.225
4.665 3.834 7.561
Li Ac Er Hg
1 1 2 4
Cartesian
3.779 -1.430 6.332
0.000 0.000 0.000
5.546 -2.346 9.304
2.012 -0.514 3.360
4.969 0.521 8.217
4.319 -4.357 7.362
3.239 1.497 5.303
2.588 -3.382 4.447
```

Calculated values
**V**: 210.67 Å³ per cell
**Calculated formation energy**: -40.4 kJ/mol of atoms

Entry 10:
A geometry-optimized TlTc2Sb structure. Source: Alexandria, functional PBE.

```
TlTc2Sb
1.0
3.275 0.000 0.000
0.000 3.275 0.000
0.000 0.000 6.714
Sb Tc Tl
1 2 1
Cartesian
1.637 1.637 5.035
0.000 0.000 6.559
0.000 0.000 3.512
1.637 1.637 1.678
```

Calculated values
**V**: 71.99 Å³ per cell
**Energy relative to the elements, uncorrected**: 1.9 eV per formula unit
**Energy above the most stable polymorph in this dataset**: 5.94 kcal/mol of atoms

Entry 11:
A geometry-optimized Pm5Se4N structure. Source: Alexandria, functional PBE.

```
Pm5Se4N
1.0
-2.012 1.051 5.355
-6.896 -1.430 0.849
0.464 -5.531 4.418
Pm Se N
5 4 1
Cartesian
-3.857 -4.149 8.848
-5.962 -4.513 4.970
-2.486 -1.395 5.664
-4.591 -1.759 1.786
-1.007 0.526 2.681
-3.204 -4.472 5.997
-6.750 -3.603 7.653
-1.697 -2.305 2.980
-5.244 -1.436 4.636
-0.003 0.001 0.007
```

Calculated values
**V**: 243.52 Å³ per cell
**Energy relative to the elements, uncorrected**: -17.1 eV per formula unit
**Energy above the most stable polymorph in this dataset**: 0.00 kcal/mol of atoms

Entry 12:
A geometry-optimized Ca2MnAs structure. Source: Alexandria, functional PBE.

```
Ca2MnAs
1.0
3.858 -0.011 0.000
0.011 3.858 0.000
0.000 0.000 6.490
As Mn Ca
1 1 2
Cartesian
1.935 1.924 4.868
1.935 1.924 1.623
0.000 0.000 6.365
0.000 0.000 3.370
```

Calculated values
**V**: 96.61 Å³ per cell
**Calculated formation energy**: -23.3 kJ/mol of atoms